No. 1
Entry from the Alexandria database: a relaxed structure of LiZnAsRu (GGA-PBE).

Structure (POSCAR):
```
LiZnAsRu
1.0
4.299 0.000 0.000
2.150 3.723 0.000
2.150 1.241 3.511
Ru As Zn Li
1 1 1 1
direct
0.500 0.500 0.500 Ru
0.250 0.250 0.250 As
0.750 0.750 0.750 Zn
0.000 0.000 0.000 Li
```

**Electronic total energy**: -4.464 eV per atom
**Crystal system**: cubic
**Formation energy from the elements**: -0.185 eV per atom

***

No. 2
Entry from the Alexandria database: a relaxed structure of YCo4Ge12 (GGA-PBE).

Structure (POSCAR):
```
YCo4Ge12
1.0
-0.218 -7.188 0.976
6.380 2.563 2.320
-5.369 3.116 3.758
Y Co Ge
1 4 12
direct
0.000 0.000 0.000 Y
0.000 0.500 0.000 Co
0.500 0.000 0.000 Co
0.500 0.500 0.500 Co
0.000 0.000 0.500 Co
0.835 0.342 0.178 Ge
0.342 0.507 0.165 Ge
0.822 0.165 0.658 Ge
0.342 0.178 0.835 Ge
0.178 0.835 0.342 Ge
0.658 0.493 0.835 Ge
0.507 0.165 0.342 Ge
0.493 0.835 0.658 Ge
0.658 0.822 0.165 Ge
0.835 0.658 0.493 Ge
0.165 0.342 0.507 Ge
0.165 0.658 0.822 Ge
```

**Electronic total energy**: -5.424 eV per atom
**Crystal system**: cubic
**Formation energy from the elements**: -0.113 eV per atom

***

No. 3
Entry from the Alexandria database: a relaxed structure of AcLaCdIr (GGA-PBE).

Structure (POSCAR):
```
AcLaCdIr
1.0
-3.726 3.249 2.134
-4.040 -2.072 2.894
-0.168 0.770 5.326
Cd Ac Ir La
1 1 1 1
direct
0.000 0.000 0.000 Cd
0.250 0.250 0.250 Ac
0.500 0.500 0.500 Ir
0.750 0.750 0.750 La
```

**Electronic total energy**: -5.071 eV per atom
**Crystal system**: cubic
**Formation energy from the elements**: -0.368 eV per atom

***

No. 4
Entry from the Alexandria database: a relaxed structure of Y2ZnNi (GGA-PBE).

Structure (POSCAR):
```
Y2ZnNi
1.0
-2.315 3.716 -0.569
-0.217 -1.007 -5.695
-5.722 -2.982 3.810
Y Zn Ni
4 2 2
direct
0.750 0.208 0.429 Y
0.250 0.792 0.571 Y
0.250 0.762 0.082 Y
0.750 0.238 0.918 Y
0.250 0.337 0.209 Zn
0.750 0.663 0.791 Zn
0.750 0.629 0.289 Ni
0.250 0.371 0.711 Ni
```

**Electronic total energy**: -5.365 eV per atom
**Crystal system**: monoclinic
**Formation energy from the elements**: -0.370 eV per atom

***

No. 5
Entry from the Alexandria database: a relaxed structure of TmCo4Ge2 (GGA-PBE).

Structure (POSCAR):
```
TmCo4Ge2
1.0
-7.196 0.554 -0.060
-0.213 -2.011 6.928
0.263 3.531 1.033
Tm Co Ge
2 8 4
direct
0.000 0.000 0.000 Tm
0.500 0.500 0.500 Tm
0.581 0.148 0.000 Co
0.419 0.852 0.000 Co
0.648 0.919 0.500 Co
0.081 0.352 0.500 Co
0.352 0.081 0.500 Co
0.919 0.648 0.500 Co
0.148 0.581 0.000 Co
0.852 0.419 0.000 Co
0.277 0.277 0.000 Ge
0.723 0.723 0.000 Ge
0.777 0.223 0.500 Ge
0.223 0.777 0.500 Ge
```

**Electronic total energy**: -6.412 eV per atom
**Crystal system**: tetragonal
**Formation energy from the elements**: -0.394 eV per atom

***

No. 6
Entry from the Alexandria database: a relaxed structure of La4InSn (GGA-PBE).

Structure (POSCAR):
```
La4InSn
1.0
3.381 -0.001 0.000
0.002 5.520 0.000
-0.001 0.001 9.536
La In Sn
4 1 1
direct
0.498 0.997 0.168 La
0.498 0.997 0.827 La
0.499 0.497 0.666 La
0.498 0.497 0.331 La
0.999 0.497 0.998 In
0.999 0.997 0.498 Sn
```

**Electronic total energy**: -4.692 eV per atom
**Crystal system**: orthorhombic
**Formation energy from the elements**: -0.283 eV per atom

***

No. 7
Entry from the Alexandria database: a relaxed structure of Tl3PdRh2S6 (GGA-PBE).

Structure (POSCAR):
```
Tl3PdRh2S6
1.0
6.339 0.005 0.008
-3.164 5.493 0.008
-1.050 -1.818 7.244
Tl Pd Rh S
3 1 2 6
direct
0.165 0.835 0.500 Tl
0.835 0.165 0.500 Tl
0.500 0.500 0.500 Tl
0.000 0.000 0.000 Pd
0.333 0.667 0.000 Rh
0.667 0.333 0.000 Rh
0.945 0.608 0.836 S
0.715 0.715 0.164 S
0.055 0.392 0.164 S
0.608 0.945 0.836 S
0.285 0.285 0.836 S
0.392 0.055 0.164 S
```

**Electronic total energy**: -4.640 eV per atom
**Uncorrected formation energy**: -327 meV/atom
**Crystal system**: monoclinic

***

No. 8
Entry from the Alexandria database: a relaxed structure of Ca2PuSbN4 (GGA-PBE).

Structure (POSCAR):
```
Ca2PuSbN4
1.0
-1.712 -2.590 1.642
0.063 -3.275 -5.099
4.894 -1.245 3.138
Ca Pu Sb N
2 1 1 4
direct
0.500 0.000 0.500 Ca
0.000 0.500 0.500 Ca
0.500 0.500 0.000 Pu
0.000 0.000 0.000 Sb
0.500 0.277 0.219 N
0.500 0.723 0.781 N
0.000 0.271 0.774 N
0.000 0.729 0.226 N
```

**Electronic total energy**: -7.653 eV per atom
**Uncorrected formation energy**: -683 meV/atom
**Crystal system**: monoclinic